No. 1
Computed, not measured: a relaxed structure of Ba2Be2B at the PBE-GGA level of DFT.

**E_form**: 0.693 eV/atom
**SG**: I4/mmm
**ΔE to the lowest computed polymorph**: 0.0 kJ/mol of atoms

Lattice parameters (Å, degrees): 5.3665 5.3665 5.3665 109.62 109.62 109.17
Closest atoms and distances in Å follow each position.
Positions (direct):
Ba 0.2500 0.7500 0.5000  2 Ba 3.11, 4 Be 3.12, 4 B 3.46
Ba 0.7500 0.2500 0.5000  2 Ba 3.11, 4 Be 3.12, 4 B 3.46
Be 0.1882 0.1882 0.0000  1 B 1.94
Be 0.8118 0.8118 0.0000  1 B 1.94
B 0.5000 0.5000 0.0000  2 Be 1.94

No. 2
Computed, not measured: a relaxed structure of LiTi2MnHg at the PBE-GGA level of DFT.

**E_form**: 1.071 eV/atom
**SG**: P4/mmm
**ΔE to the lowest computed polymorph**: 71.4 kJ/mol of atoms

Lattice parameters (Å, degrees): 4.3550 4.3550 4.2817 90.00 90.00 90.00
Closest atoms and distances in Å follow each position.
Positions (direct):
Li 0.0000 0.0000 0.0000  2 Hg 2.14, 4 Ti 2.18
Ti 0.0000 0.5000 0.0000  2 Li 2.18
Ti 0.5000 0.0000 0.0000  2 Li 2.18
Mn 0.5000 0.5000 0.5000  8 Ti 3.05, 4 Hg 3.08
Hg 0.0000 0.0000 0.5000  2 Li 2.14

No. 3
Computed, not measured: a relaxed structure of Be2CdCuPb at the PBE-GGA level of DFT.

**E_form**: 0.575 eV/atom
**SG**: P4/mmm

Lattice parameters (Å, degrees): 4.3781 4.3781 4.9172 90.00 90.00 90.00
Closest atoms and distances in Å follow each position.
Positions (direct):
Be 0.0000 0.5000 0.0000  2 Cu 2.19
Be 0.5000 0.0000 0.0000  2 Cu 2.19
Cd 0.0000 0.0000 0.5000  2 Cu 2.46
Cu 0.0000 0.0000 0.0000  4 Be 2.19
Pb 0.5000 0.5000 0.5000  4 Cd 3.10, 8 Be 3.29

No. 4
Computed, not measured: a relaxed structure of Tb2ErMg5 at the PBE-GGA level of DFT.

**E_form**: -0.064 eV/atom
**SG**: I4/mmm

Lattice parameters (Å, degrees): 8.4511 8.4511 8.4511 143.88 143.88 52.01
Closest atoms and distances in Å follow each position.
Positions (direct):
Tb 0.2438 0.2438 0.0000  8 Mg 3.24-3.36
Tb 0.7562 0.7562 0.0000  8 Mg 3.24-3.36
Er 0.5000 0.5000 0.0000  8 Mg 3.17
Mg 0.0000 0.0000 0.0000  8 Mg 3.17
Mg 0.1179 0.6179 0.5000  2 Er 3.17, 2 Mg 3.17, 4 Tb 3.24-3.36
Mg 0.3821 0.8821 0.5000  2 Mg 3.17, 2 Er 3.17, 4 Tb 3.24-3.36
Mg 0.6179 0.1179 0.5000  2 Er 3.17, 2 Mg 3.17, 4 Tb 3.24-3.36
Mg 0.8821 0.3821 0.5000  2 Mg 3.17, 2 Er 3.17, 4 Tb 3.24-3.36

No. 5
Computed, not measured: a relaxed structure of Cd2RuPt at the PBE-GGA level of DFT.

**E_form**: 0.112 eV/atom
**SG**: Pmmm

Lattice parameters (Å, degrees): 2.9253 3.9108 6.0656 90.00 90.00 90.00
Closest atoms and distances in Å follow each position.
Positions (direct):
Cd 0.0000 0.0000 0.2492  4 Ru 2.87, 4 Pt 2.88, 4 Cd 2.93-3.04
Cd 0.0000 0.0000 0.7508  4 Ru 2.87, 4 Pt 2.88, 4 Cd 2.93-3.04
Ru 0.5000 0.5000 0.0000  8 Cd 2.87, 2 Ru 2.93, 2 Pt 3.03
Pt 0.5000 0.5000 0.5000  8 Cd 2.88, 2 Pt 2.93, 2 Ru 3.03

No. 6
Computed, not measured: a relaxed structure of K2ZnSe2 at the PBE-GGA level of DFT.

**VASP energy**: -2.760 eV/atom
**SG**: P4/mbm

Lattice parameters (Å, degrees): 7.5589 7.5589 4.9556 90.00 90.00 90.00
Closest atoms and distances in Å follow each position.
Positions (direct):
K 0.1411 0.3589 0.0000  1 K 3.02, 2 Se 3.13
K 0.3589 0.8589 0.0000  1 K 3.02, 2 Se 3.13
K 0.6411 0.1411 0.0000  1 K 3.02, 2 Se 3.13
K 0.8589 0.6411 0.0000  1 K 3.02, 2 Se 3.13
Zn 0.0000 0.0000 0.5000  4 Se 2.77
Zn 0.5000 0.5000 0.5000  4 Se 2.77
Se 0.1803 0.6803 0.5000  2 Zn 2.77
Se 0.3197 0.1803 0.5000  2 Zn 2.77
Se 0.6803 0.8197 0.5000  2 Zn 2.77
Se 0.8197 0.3197 0.5000  2 Zn 2.77

No. 7
Computed, not measured: a relaxed structure of KReRh at the PBE-GGA level of DFT.

**E_form**: 0.883 eV/atom
**SG**: Fmm2
**ΔE to the lowest computed polymorph**: 18.7 kJ/mol of atoms

Lattice parameters (Å, degrees): 8.3932 8.1795 2.7709 84.76 76.04 19.19
Closest atoms and distances in Å follow each position.
Positions (direct):
K 0.0000 0.0000 0.0000  6 K 2.77-2.88
Re 0.6879 0.6879 0.3121  2 Rh 2.61, 6 Re 2.77-2.88
Rh 0.3229 0.3229 0.6771  2 Re 2.61, 6 Rh 2.77-2.88

No. 8
Computed, not measured: a relaxed structure of Rb2ZnTeS4 at the PBE-GGA level of DFT.

**VASP energy**: -3.442 eV/atom
**SG**: Fddd

Lattice parameters (Å, degrees): 13.6947 12.0413 7.8958 84.03 60.98 34.99
Closest atoms and distances in Å follow each position.
Positions (direct):
Rb 0.0537 0.0537 0.6963  8 S 3.57-3.96
Rb 0.3037 0.3037 0.9463  8 S 3.57-3.96
Rb 0.6963 0.6963 0.0537  8 S 3.57-3.96
Rb 0.9463 0.9463 0.3037  8 S 3.57-3.96
Zn 0.1250 0.1250 0.1250  4 S 2.38
Zn 0.8750 0.8750 0.8750  4 S 2.38
Te 0.3750 0.3750 0.3750  4 S 2.56
Te 0.6250 0.6250 0.6250  4 S 2.56
S 0.0502 0.3050 0.4011  1 Zn 2.38, 1 Te 2.56
S 0.2562 0.5989 0.6950  1 Zn 2.38, 1 Te 2.56
S 0.3050 0.0502 0.7438  1 Zn 2.38, 1 Te 2.56
S 0.4011 0.7438 0.0502  1 Zn 2.38, 1 Te 2.56
S 0.5989 0.2562 0.9498  1 Zn 2.38, 1 Te 2.56
S 0.6950 0.9498 0.2562  1 Zn 2.38, 1 Te 2.56
S 0.7438 0.4011 0.3050  1 Zn 2.38, 1 Te 2.56
S 0.9498 0.6950 0.5989  1 Zn 2.38, 1 Te 2.56